Below is an optimized crystal structure of VCu2Ag, with properties calculated at the PBE-GGA level.

Volume = 63 Å³/f.u.
Spin magnetization = 5.65 Bohr magnetons per cell
Energy of formation = 15.3 kcal/mol of atoms
Density of states at the Fermi level = 1.1019 states/eV/atom

Unit cell a=6.912 b=6.912 c=5.563 alpha=51.59 beta=51.59 gamma=90.00
Last column: magnetic moment on the atom in μB.
Sites, in units of the cell vectors:
Cu 0.875 0.870 0.750  0.09
Cu 0.130 0.625 0.250  0.09
Cu 0.620 0.125 0.250  0.09
Cu 0.375 0.380 0.750  0.09
Ag 0.000 0.000 0.000  0.06
Ag 0.750 0.250 0.500  0.06
V 0.500 0.500 0.000  2.23
V 0.250 0.750 0.500  2.23